K2VGeO4 | PBE with a Hubbard U | relaxed

The space group is I-4 (No. 82) and the conventional cell measures 6.0122, 6.0122 and 7.2369 Å, with angles of 90.00, 90.00 and 90.00 degrees. The asymmetric unit holds K at (0.0000, 0.0000, 0.0000), K at (0.0000, 0.5000, 0.2500), V at (0.0000, 0.0000, 0.5000), Ge at (0.0000, 0.5000, 0.7500) and O at (0.1284, 0.7120, 0.6118).

As for the total energy: -46.87 eV per formula unit. The value obtained for the total magnetic moment is 5.978 μB/cell.